1.
# SmEr2Sn | the Alexandria database | GGA-PBE | relaxed
# V = 30.19 Å³/atom
# Energy of formation = -0.42 eV per atom
# Density = 8.30 Mg/m³
# Distance to the lowest polymorph of the same formula = 0 meV per atom
# Total magnetic moment = 0.0 μB per formula unit
data_SmEr2Sn
_symmetry_space_group_name_H-M 'P 1 21/m 1'
_symmetry_Int_Tables_number 11
_cell_length_a 4.6102
_cell_length_b 4.6843
_cell_length_c 11.4191
_cell_angle_alpha 90.00
_cell_angle_beta 101.61
_cell_angle_gamma 90.00
loop_
_symmetry_equiv_pos_as_xyz
'x,y,z'
'-x,-y,-z'
'-x,y+1/2,-z'
'x,-y+1/2,z'
loop_
_atom_site_label
_atom_site_type_symbol
_atom_site_fract_x
_atom_site_fract_y
_atom_site_fract_z
Sm1 Sm 0.1921 0.2500 0.3857
Er1 Er 0.0581 0.7500 0.1161
Er2 Er 0.4366 0.7500 0.8730
Sn1 Sn 0.3374 0.2500 0.6728

---

2.
# Sm5Er2Sn4 | the Alexandria database | GGA-PBE | relaxed
# V = 32.08 Å³/atom
# Energy of formation = -0.26 eV per atom
# Density = 7.35 Mg/m³
# Total magnetic moment = 0.0 μB per formula unit
data_Sm5Er2Sn4
_symmetry_space_group_name_H-M 'C 1 2/m 1'
_symmetry_Int_Tables_number 12
_cell_length_a 26.8210
_cell_length_b 3.5220
_cell_length_c 7.4737
_cell_angle_alpha 90.00
_cell_angle_beta 91.74
_cell_angle_gamma 90.00
loop_
_symmetry_equiv_pos_as_xyz
'x,y,z'
'-x,-y,-z'
'-x,y,-z'
'x,-y,z'
'x+1/2,y+1/2,z'
'-x+1/2,-y+1/2,-z'
'-x+1/2,y+1/2,-z'
'x+1/2,-y+1/2,z'
loop_
_atom_site_label
_atom_site_type_symbol
_atom_site_fract_x
_atom_site_fract_y
_atom_site_fract_z
Sm1 Sm 0.0000 0.0000 0.0000
Sm2 Sm 0.1377 0.5000 0.8333
Sm3 Sm 0.2357 0.5000 0.2227
Er1 Er 0.0884 0.5000 0.3004
Sn1 Sn 0.0297 0.5000 0.6625
Sn2 Sn 0.1718 0.0000 0.4978

---

3.
# SmEr3Sn3 | the Alexandria database | GGA-PBE | relaxed
# V = 27.71 Å³/atom
# Energy of formation = -0.53 eV per atom
# Density = 8.63 Mg/m³
# Total magnetic moment = 0.0 μB per formula unit
data_SmEr3Sn3
_symmetry_space_group_name_H-M 'P 63/m'
_symmetry_Int_Tables_number 176
_symmetry_space_group_name_Hall '-P 6c'
_cell_length_a 9.1117
_cell_length_b 9.1117
_cell_length_c 5.3947
_cell_angle_alpha 90.00
_cell_angle_beta 90.00
_cell_angle_gamma 120.00
loop_
_atom_site_label
_atom_site_type_symbol
_atom_site_fract_x
_atom_site_fract_y
_atom_site_fract_z
Sm1 Sm 0.3333 0.6667 0.2500
Er1 Er 0.0047 0.2378 0.2500
Sn1 Sn 0.0741 0.4499 0.7500

---

4.
# SmEr4Sn4 | the Alexandria database | GGA-PBE | relaxed
# V = 32.43 Å³/atom
# Energy of formation = -0.40 eV per atom
# Density = 7.36 Mg/m³
# Total magnetic moment = 0.0 μB per formula unit
data_SmEr4Sn4
_symmetry_space_group_name_H-M 'P 42/n'
_symmetry_Int_Tables_number 86
_cell_length_a 9.7962
_cell_length_b 9.7962
_cell_length_c 6.0834
_cell_angle_alpha 90.00
_cell_angle_beta 90.00
_cell_angle_gamma 90.00
loop_
_symmetry_equiv_pos_as_xyz
'x,y,z'
'-x,-y,-z'
'-y,x+1/2,z+1/2'
'y,-x+1/2,-z+1/2'
'-x+1/2,-y+1/2,z'
'x+1/2,y+1/2,-z'
'y+1/2,-x,z+1/2'
'-y+1/2,x,-z+1/2'
loop_
_atom_site_label
_atom_site_type_symbol
_atom_site_fract_x
_atom_site_fract_y
_atom_site_fract_z
Sm1 Sm 0.2500 0.2500 0.2500
Er1 Er 0.0960 0.6480 0.1418
Sn1 Sn 0.0358 0.6129 0.6520

---

5.
# Sm4ErSn2 | the Alexandria database | GGA-PBE | relaxed
# V = 33.88 Å³/atom
# Energy of formation = -0.25 eV per atom
# Density = 7.04 Mg/m³
# Total magnetic moment = 0.0 μB per formula unit
data_Sm4ErSn2
_symmetry_space_group_name_H-M 'R -3 m'
_symmetry_Int_Tables_number 166
_symmetry_space_group_name_Hall '-R 3 2"'
_cell_length_a 5.4317
_cell_length_b 5.4317
_cell_length_c 27.8489
_cell_angle_alpha 90.00
_cell_angle_beta 90.00
_cell_angle_gamma 120.00
loop_
_atom_site_label
_atom_site_type_symbol
_atom_site_fract_x
_atom_site_fract_y
_atom_site_fract_z
Sm1 Sm 0.0000 0.0000 0.1246
Sm2 Sm 0.0000 0.0000 0.2799
Er1 Er 0.0000 0.0000 0.5000
Sn1 Sn 0.0000 0.0000 0.3929

---

6.
# Sm5ErSn4 | the Alexandria database | GGA-PBE | relaxed
# V = 31.64 Å³/atom
# Energy of formation = -0.54 eV per atom
# Density = 7.32 Mg/m³
# Total magnetic moment = 0.0 μB per formula unit
data_Sm5ErSn4
_symmetry_space_group_name_H-M 'C 1 2/m 1'
_symmetry_Int_Tables_number 12
_cell_length_a 16.3605
_cell_length_b 5.3481
_cell_length_c 7.2325
_cell_angle_alpha 90.00
_cell_angle_beta 90.54
_cell_angle_gamma 90.00
loop_
_symmetry_equiv_pos_as_xyz
'x,y,z'
'-x,-y,-z'
'-x,y,-z'
'x,-y,z'
'x+1/2,y+1/2,z'
'-x+1/2,-y+1/2,-z'
'-x+1/2,y+1/2,-z'
'x+1/2,-y+1/2,z'
loop_
_atom_site_label
_atom_site_type_symbol
_atom_site_fract_x
_atom_site_fract_y
_atom_site_fract_z
Sm1 Sm 0.0000 0.0000 0.0000
Sm2 Sm 0.1657 0.5000 0.9964
Sm3 Sm 0.1667 0.5000 0.5064
Er1 Er 0.0000 0.0000 0.5000
Sn1 Sn 0.0080 0.5000 0.2558
Sn2 Sn 0.1742 0.0000 0.7486

---

7.
# SmErSn2 | the Alexandria database | GGA-PBE | relaxed
# V = 28.11 Å³/atom
# Energy of formation = -0.73 eV per atom
# Density = 8.20 Mg/m³
# Total magnetic moment = 0.0 μB per formula unit
data_SmErSn2
_symmetry_space_group_name_H-M 'A m m 2'
_symmetry_Int_Tables_number 38
_cell_length_a 4.3255
_cell_length_b 4.5267
_cell_length_c 11.4832
_cell_angle_alpha 90.00
_cell_angle_beta 90.00
_cell_angle_gamma 90.00
loop_
_symmetry_equiv_pos_as_xyz
'x,y,z'
'-x,-y,z'
'-x,y,z'
'x,-y,z'
'x,y+1/2,z+1/2'
'-x,-y+1/2,z+1/2'
'-x,y+1/2,z+1/2'
'x,-y+1/2,z+1/2'
loop_
_atom_site_label
_atom_site_type_symbol
_atom_site_fract_x
_atom_site_fract_y
_atom_site_fract_z
Sm1 Sm 0.0000 0.0000 0.0000
Er1 Er 0.5000 0.0000 0.2685
Sn1 Sn 0.0000 0.0000 0.7274
Sn2 Sn 0.5000 0.0000 0.5414

---

8.
# SmErSn2 | the Alexandria database | GGA-PBE | relaxed
# V = 29.62 Å³/atom
# Energy of formation = -0.52 eV per atom
# Density = 7.78 Mg/m³
# Total magnetic moment = 0.0 μB per formula unit
data_SmErSn2
_symmetry_space_group_name_H-M 'R -3 m'
_symmetry_Int_Tables_number 166
_symmetry_space_group_name_Hall '-R 3 2"'
_cell_length_a 3.9637
_cell_length_b 3.9637
_cell_length_c 26.1202
_cell_angle_alpha 90.00
_cell_angle_beta 90.00
_cell_angle_gamma 120.00
loop_
_atom_site_label
_atom_site_type_symbol
_atom_site_fract_x
_atom_site_fract_y
_atom_site_fract_z
Sm1 Sm 0.0000 0.0000 0.0000
Er1 Er 0.0000 0.0000 0.5000
Sn1 Sn 0.0000 0.0000 0.2480

---

9.
# SmErSn | the Alexandria database | GGA-PBE | relaxed
# V = 33.59 Å³/atom
# Energy of formation = -0.21 eV per atom
# Density = 7.19 Mg/m³
# Distance to the lowest polymorph of the same formula = 394 meV per atom
# Total magnetic moment = 0.2 μB per formula unit
data_SmErSn
_symmetry_space_group_name_H-M 'P -6 m 2'
_symmetry_Int_Tables_number 187
_symmetry_space_group_name_Hall 'P -6 2'
_cell_length_a 4.6677
_cell_length_b 4.6677
_cell_length_c 10.6822
_cell_angle_alpha 90.00
_cell_angle_beta 90.00
_cell_angle_gamma 120.00
loop_
_atom_site_label
_atom_site_type_symbol
_atom_site_fract_x
_atom_site_fract_y
_atom_site_fract_z
Sm1 Sm 0.0000 0.0000 0.2107
Er1 Er 0.3333 0.6667 0.0000
Er2 Er 0.6667 0.3333 0.5000
Sn1 Sn 0.3333 0.6667 0.3425

---

10.
# SmErSn | the Alexandria database | GGA-PBE | relaxed
# V = 29.52 Å³/atom
# Energy of formation = -0.36 eV per atom
# Density = 8.18 Mg/m³
# Distance to the lowest polymorph of the same formula = 243 meV per atom
# Total magnetic moment = 0.0 μB per formula unit
data_SmErSn
_symmetry_space_group_name_H-M 'P 3 m 1'
_symmetry_Int_Tables_number 156
_cell_length_a 5.1124
_cell_length_b 5.1124
_cell_length_c 3.9119
_cell_angle_alpha 90.00
_cell_angle_beta 90.00
_cell_angle_gamma 120.00
loop_
_symmetry_equiv_pos_as_xyz
'x,y,z'
'-y,x-y,z'
'-x+y,-x,z'
'-y,-x,z'
'-x+y,y,z'
'x,x-y,z'
loop_
_atom_site_label
_atom_site_type_symbol
_atom_site_fract_x
_atom_site_fract_y
_atom_site_fract_z
Sm1 Sm 0.0000 0.0000 0.0000
Er1 Er 0.3333 0.6667 0.5517
Sn1 Sn 0.6667 0.3333 0.3474

---

11.
# SmEr2Sn | the Alexandria database | GGA-PBE | relaxed
# V = 29.64 Å³/atom
# Energy of formation = -0.28 eV per atom
# Density = 8.45 Mg/m³
# Distance to the lowest polymorph of the same formula = 134 meV per atom
# Total magnetic moment = 0.0 μB per formula unit
data_SmEr2Sn
_symmetry_space_group_name_H-M 'C m c m'
_symmetry_Int_Tables_number 63
_symmetry_space_group_name_Hall '-C 2c 2'
_cell_length_a 5.4140
_cell_length_b 12.6994
_cell_length_c 6.8982
_cell_angle_alpha 90.00
_cell_angle_beta 90.00
_cell_angle_gamma 90.00
loop_
_atom_site_label
_atom_site_type_symbol
_atom_site_fract_x
_atom_site_fract_y
_atom_site_fract_z
Sm1 Sm 0.0000 0.0682 0.2500
Er1 Er 0.0000 0.3687 0.0202
Sn1 Sn 0.0000 0.1770 0.7500

---

12.
# SmErSn | the Alexandria database | GGA-PBE | relaxed
# V = 29.66 Å³/atom
# Energy of formation = -0.61 eV per atom
# Density = 8.14 Mg/m³
# Distance to the lowest polymorph of the same formula = 0 meV per atom
# Total magnetic moment = 0.2 μB per formula unit
data_SmErSn
_symmetry_space_group_name_H-M 'I 4/m m m'
_symmetry_Int_Tables_number 139
_symmetry_space_group_name_Hall '-I 4 2'
_cell_length_a 4.5984
_cell_length_b 4.5984
_cell_length_c 16.8347
_cell_angle_alpha 90.00
_cell_angle_beta 90.00
_cell_angle_gamma 90.00
loop_
_atom_site_label
_atom_site_type_symbol
_atom_site_fract_x
_atom_site_fract_y
_atom_site_fract_z
Sm1 Sm 0.0000 0.0000 0.1759
Er1 Er 0.0000 0.5000 0.0000
Sn1 Sn 0.0000 0.0000 0.3661